(1)
A relaxed LaBeCu2 crystal, computed with PBE.

Cell lengths 4.2036, 5.3342, 6.6141 Å; angles 90.00, 90.00, 90.00 degrees
With the nearest neighbours (Å) after each atom.
Space group Imm2 (No. 44)
Inequivalent atoms, fractional coordinates:
La: 0.0000 0.0000 0.0000 [2 per cell]  4 Be 2.89-3.03, 5 Cu 2.92-3.07
Be: 0.0000 0.5000 0.8301 [2 per cell]  3 Cu 2.28-2.32
Cu: 0.0000 0.0000 0.4647 [2 per cell]  2 Be 2.28, 2 Cu 2.54
Cu: 0.0000 0.5000 0.1812 [2 per cell]  1 Be 2.32, 2 Cu 2.54

Summary:
ΔE_f, eV/atom: 0.112
Mass density, Mg/m³: 6.2
M_tot, μB per formula unit: 0.000



(2)
A relaxed LaBe2Cu crystal, computed with PBE.

Cell lengths 4.3883, 4.3883, 15.4452 Å; angles 90.00, 90.00, 90.00 degrees
With the nearest neighbours (Å) after each atom.
Space group I4_1/amd (No. 141, origin choice 2)
Inequivalent atoms, fractional coordinates:
La: 0.0000 0.2500 0.3750 [4 per cell]  4 Cu 3.10, 8 Be 3.12
Be: 0.0000 0.0000 0.0000 [8 per cell]  2 Be 2.19, 2 Cu 2.22
Cu: 0.0000 0.2500 0.8750 [4 per cell]  4 Be 2.22

Summary:
ΔE_f, eV/atom: 0.148
Mass density, Mg/m³: 4.9
M_tot, μB per formula unit: 0.000



(3)
A relaxed LaBe2Cu9 crystal, computed with PBE.

Cell lengths 9.9735, 9.9735, 6.4217 Å; angles 90.00, 90.00, 90.00 degrees
With the nearest neighbours (Å) after each atom.
Space group I4_1/amd (No. 141, origin choice 2)
Inequivalent atoms, fractional coordinates:
La: 0.0000 0.2500 0.3750 [4 per cell]  18 Cu 3.14-3.23, 4 Be 3.47
Be: 0.0000 0.0000 0.0000 [8 per cell]  10 Cu 2.35-2.62
Cu: 0.0000 0.2500 0.8750 [4 per cell]  4 Be 2.62, 8 Cu 2.64
Cu: 0.1233 0.0461 0.6958 [32 per cell]  2 Be 2.35-2.42, 6 Cu 2.46-2.62

Summary:
ΔE_f, eV/atom: -0.102
Mass density, Mg/m³: 7.6
M_tot, μB per formula unit: 0.000



(4)
A relaxed LaBe2Cu crystal, computed with PBE.

Cell lengths 6.7044, 3.8763, 5.6907 Å; angles 90.00, 113.64, 90.00 degrees
With the nearest neighbours (Å) after each atom.
Space group Cm (No. 8)
Inequivalent atoms, fractional coordinates:
La: 0.0000 0.0000 0.0000 [2 per cell]  4 Cu 2.95-3.20, 4 Be 2.96-3.18
Be: 0.3118 0.5000 0.4315 [2 per cell]  3 Be 2.26, 3 Cu 2.34-2.35
Be: 0.4991 0.0000 0.4932 [2 per cell]  3 Be 2.26, 3 Cu 2.27
Cu: 0.1903 0.0000 0.5661 [2 per cell]  6 Be 2.27-2.35

Summary:
ΔE_f, eV/atom: -0.059
Mass density, Mg/m³: 5.4
M_tot, μB per formula unit: 0.000